Computed, not measured: a relaxed structure of MgPdF3 at the PBE-GGA level of DFT.

## Properties
* formation energy (no corrections): -2.118 eV per atom
* E above lowest polymorph: 0.000 eV per atom

Cell lengths 3.9712, 3.9712, 3.9712 Å; angles 90.00, 90.00, 90.00 degrees
Last column: nearest neighbours and their distance in Å.
Atoms (fractional coordinates):
Mg 0.0000 0.0000 0.0000  6 F 1.99
Pd 0.5000 0.5000 0.5000  12 F 2.81
F 0.0000 0.0000 0.5000  2 Mg 1.99
F 0.0000 0.5000 0.0000  2 Mg 1.99
F 0.5000 0.0000 0.0000  2 Mg 1.99

Computed, not measured: a relaxed structure of Hf2Zr2Tc at the PBE-GGA level of DFT.

## Properties
* E above lowest polymorph: 0.165 eV per atom

Cell lengths 11.1203, 11.1203, 11.1203 Å; angles 156.28, 156.28, 33.79 degrees
Last column: nearest neighbours and their distance in Å.
Atoms (fractional coordinates):
Hf 0.0514 0.3014 0.7500  2 Tc 2.77
Hf 0.3014 0.0514 0.2500  2 Tc 2.77
Hf 0.6986 0.9486 0.7500  2 Tc 2.77
Hf 0.9486 0.6986 0.2500  2 Tc 2.77
Zr 0.2008 0.4508 0.7500  2 Tc 2.80, 2 Zr 3.10, 2 Hf 3.13
Zr 0.4508 0.2008 0.2500  2 Tc 2.80, 2 Zr 3.10, 2 Hf 3.13
Zr 0.5492 0.7992 0.7500  2 Tc 2.80, 2 Zr 3.10, 2 Hf 3.13
Zr 0.7992 0.5492 0.2500  2 Tc 2.80, 2 Zr 3.10, 2 Hf 3.13
Tc 0.3750 0.6250 0.7500  4 Hf 2.77, 4 Zr 2.80
Tc 0.6250 0.3750 0.2500  4 Hf 2.77, 4 Zr 2.80

Computed, not measured: a relaxed structure of CeCd2Pt6 at the PBE-GGA level of DFT.

## Properties
* DFT total energy: -44.01 eV/cell

Cell lengths 6.3996, 6.3996, 6.3996 Å; angles 60.00, 60.00, 60.00 degrees
Last column: nearest neighbours and their distance in Å.
Atoms (fractional coordinates):
Ce 0.0000 0.0000 0.0000  6 Pt 2.60
Cd 0.2500 0.2500 0.2500  12 Pt 3.22
Cd 0.7500 0.7500 0.7500  12 Pt 3.22
Pt 0.2869 0.2869 0.7131  1 Ce 2.60, 4 Pt 2.73
Pt 0.2869 0.7131 0.2869  1 Ce 2.60, 4 Pt 2.73
Pt 0.2869 0.7131 0.7131  1 Ce 2.60, 4 Pt 2.73
Pt 0.7131 0.2869 0.2869  1 Ce 2.60, 4 Pt 2.73
Pt 0.7131 0.2869 0.7131  1 Ce 2.60, 4 Pt 2.73
Pt 0.7131 0.7131 0.2869  1 Ce 2.60, 4 Pt 2.73

Computed, not measured: a relaxed structure of BeWSe3 at the PBE-GGA level of DFT.

## Properties
* formation energy (no corrections): 0.727 eV per atom
* E above lowest polymorph: 0.000 eV per atom

Cell lengths 4.9434, 4.9434, 4.9434 Å; angles 90.00, 90.00, 90.00 degrees
Last column: nearest neighbours and their distance in Å.
Atoms (fractional coordinates):
Be 0.0000 0.0000 0.0000  12 Se 3.50
W 0.5000 0.5000 0.5000  6 Se 2.47
Se 0.0000 0.5000 0.5000  2 W 2.47
Se 0.5000 0.0000 0.5000  2 W 2.47
Se 0.5000 0.5000 0.0000  2 W 2.47

Computed, not measured: a relaxed structure of Sc4Ga6Ir7 at the PBE-GGA level of DFT.

## Properties
* DFT total energy: -118.18 eV/cell

Cell lengths 7.1126, 7.1126, 7.1126 Å; angles 109.47, 109.47, 109.47 degrees
Last column: nearest neighbours and their distance in Å.
Atoms (fractional coordinates):
Sc 0.0000 0.0000 0.5000  6 Ir 2.90, 6 Ga 2.94
Sc 0.0000 0.5000 0.0000  6 Ir 2.90, 6 Ga 2.94
Sc 0.5000 0.0000 0.0000  6 Ir 2.90, 6 Ga 2.94
Sc 0.5000 0.5000 0.5000  6 Ir 2.90, 6 Ga 2.94
Ga 0.0000 0.3072 0.3072  5 Ir 2.52-2.59
Ga 0.0000 0.6928 0.6928  5 Ir 2.52-2.59
Ga 0.3072 0.0000 0.3072  5 Ir 2.52-2.59
Ga 0.3072 0.3072 0.0000  5 Ir 2.52-2.59
Ga 0.6928 0.0000 0.6928  5 Ir 2.52-2.59
Ga 0.6928 0.6928 0.0000  5 Ir 2.52-2.59
Ir 0.0000 0.0000 0.0000  6 Ga 2.52
Ir 0.2500 0.5000 0.7500  4 Ga 2.59, 4 Ir 2.90, 4 Sc 2.90
Ir 0.2500 0.7500 0.5000  4 Ga 2.59, 4 Ir 2.90, 4 Sc 2.90
Ir 0.5000 0.2500 0.7500  4 Ga 2.59, 4 Ir 2.90, 4 Sc 2.90
Ir 0.5000 0.7500 0.2500  4 Ga 2.59, 4 Ir 2.90, 4 Sc 2.90
Ir 0.7500 0.2500 0.5000  4 Ga 2.59, 4 Ir 2.90, 4 Sc 2.90
Ir 0.7500 0.5000 0.2500  4 Ga 2.59, 4 Ir 2.90, 4 Sc 2.90

Computed, not measured: a relaxed structure of CaNbRu2 at the PBE-GGA level of DFT.

## Properties
* DFT total energy: -57.61 eV/cell

Cell lengths 5.9352, 5.9352, 5.9352 Å; angles 104.91, 104.91, 119.04 degrees
Last column: nearest neighbours and their distance in Å.
Atoms (fractional coordinates):
Ca 0.0000 0.0000 0.0000  4 Ru 2.88, 2 Nb 3.01
Ca 0.7500 0.2500 0.5000  4 Ru 2.88, 2 Nb 3.01
Nb 0.2500 0.7500 0.5000  4 Ru 2.47
Nb 0.5000 0.5000 0.0000  4 Ru 2.47
Ru 0.1668 0.6250 0.0418  2 Nb 2.47
Ru 0.3750 0.4168 0.5418  2 Nb 2.47
Ru 0.5832 0.1250 0.9582  2 Nb 2.47
Ru 0.8750 0.8332 0.4582  2 Nb 2.47

Computed, not measured: a relaxed structure of CeDy3Tm2 at the PBE-GGA level of DFT.

## Properties
* E above lowest polymorph: 0.000 eV per atom

Cell lengths 7.8638, 7.8638, 4.9703 Å; angles 90.00, 90.00, 143.11 degrees
Last column: nearest neighbours and their distance in Å.
Atoms (fractional coordinates):
Ce 0.0000 0.0000 0.0000  8 Dy 3.49-3.52, 4 Tm 3.52
Dy 0.1645 0.8355 0.5000  2 Ce 3.49, 4 Dy 3.50-3.56, 6 Tm 3.52-3.53
Dy 0.5000 0.5000 0.5000  4 Dy 3.50, 4 Ce 3.52, 4 Tm 3.52
Dy 0.8355 0.1645 0.5000  2 Ce 3.49, 4 Dy 3.50-3.56, 6 Tm 3.52-3.53
Tm 0.3328 0.6672 0.0000  2 Tm 3.51, 8 Dy 3.52-3.53, 2 Ce 3.52
Tm 0.6672 0.3328 0.0000  2 Tm 3.51, 8 Dy 3.52-3.53, 2 Ce 3.52

Computed, not measured: a relaxed structure of ThFeTc at the PBE-GGA level of DFT.

## Properties
* E above lowest polymorph: 0.000 eV per atom

Cell lengths 5.4609, 5.4609, 5.4609 Å; angles 122.69, 122.42, 85.63 degrees
Last column: nearest neighbours and their distance in Å.
Atoms (fractional coordinates):
Th 0.3735 0.1235 0.2500  6 Fe 3.09-3.29, 6 Tc 3.11-3.27, 4 Th 3.29-3.31
Th 0.6265 0.8765 0.7500  6 Fe 3.09-3.29, 6 Tc 3.11-3.27, 4 Th 3.29-3.31
Fe 0.0000 0.5000 0.5000  2 Fe 2.63, 4 Tc 2.73
Fe 0.5000 0.5000 0.0000  2 Fe 2.63, 4 Tc 2.73
Tc 0.0000 0.0000 0.5000  2 Tc 2.62, 4 Fe 2.73
Tc 0.0000 0.5000 0.0000  2 Tc 2.62, 4 Fe 2.73